This record from Alexandria via LeMat-Bulk describes a relaxed structure of Si3HgBi. The functional is PBE.

Calculated values
Its offset from the most stable computed form is 0.0000 eV per atom. The value obtained for the total DFT energy (no corrections) is -2.96 eV/atom.

```
Si3HgBi
1.0
5.073 0.000 0.000
0.000 5.073 0.000
0.000 0.000 5.073
Si Hg Bi
3 1 1
direct
0.000 0.000 0.500
0.500 0.000 0.000
0.000 0.500 0.000
0.000 0.000 0.000
0.500 0.500 0.500
```